{"formula": "BaPtW2", "functional": "PBE", "state": "relaxed", "cell": [[4.022, 0.000, 0.000], [0.000, 4.022, 0.000], [0.000, 0.000, 5.300]], "species": ["Ba", "Pt", "W", "W"], "fractional_positions": [[0.000, 0.000, 0.000], [0.500, 0.500, 0.000], [0.000, 0.500, 0.500], [0.500, 0.000, 0.500]], "spacegroup": "P4/mmm", "vol_a3_per_cell": 85.7, "dft_energy_ev_per_atom": -7.201, "crystal_system": "tetragonal"}